[1]
First-principles (PBE) data for an optimized crystal structure of La2ZrSb, as listed in Alexandria via LeMat-Bulk.

The space group is Pmmm (No. 47) and the conventional cell measures 4.203, 4.216 and 6.824 Å, with angles of 90.00, 90.00 and 90.00 degrees. The distinct sites, in fractional coordinates, are La at (0.000, 0.000, 0.233), Zr at (0.500, 0.500, 0.500) and Sb at (0.500, 0.500, 0.000).


[2]
First-principles (PBE) data for an optimized crystal structure of LaZr2Sb, as listed in Alexandria via LeMat-Bulk.

The space group is R-3m (No. 166, hexagonal axes) and the conventional cell measures 3.6563, 3.6563 and 27.6961 Å, with angles of 90.00, 90.00 and 120.00 degrees. The distinct sites, in fractional coordinates, are La at (0.0000, 0.0000, 0.0000), Zr at (0.0000, 0.0000, 0.2390) and Sb at (0.0000, 0.0000, 0.5000).


The following raw total energy values (in eV/atom) correspond, in order, to the records above: -6.00; -6.61.
The following E_form (uncorrected) values (in eV/atom) correspond, in order, to the records above: -0.366; -0.074.